Density functional theory data (PBE-GGA) for an optimized crystal structure of Tl2AgB2O6.

The structure in POSCAR format:
```
Tl2AgB2O6
1.0
-0.6902 -4.1486 4.9877
2.3031 -4.3104 -1.0605
2.9386 3.0392 3.5064
O Tl Ag B
6 2 1 2
direct
0.3456 0.8475 0.9781 O
0.6544 0.1525 0.0219 O
0.8496 0.4828 0.2011 O
0.1504 0.5172 0.7989 O
0.7353 0.2323 0.4581 O
0.2647 0.7677 0.5419 O
0.2389 0.4008 0.1616 Tl
0.7611 0.5992 0.8384 Tl
0.5000 0.0000 0.5000 Ag
0.2507 0.7153 0.7713 B
0.7493 0.2847 0.2287 B
```

Properties
ΔE_f (raw): -1.29 eV/atom
total energy: -5.898 eV/atom